# 1
Density functional theory data (PBE) for an optimized crystal structure of Li14NiAg.

## Properties
VASP energy ... -2.20 eV per atom
Energy of formation ... 0.01 eV/atom
Spin magnetization ... 0.0 μB per cell
Symmetry ... No. 38
DOS(E_F) ... 0.50 states/eV per atom

POSCAR file:
```
Li14NiAg
1.0
-0.7688 -1.3554 -5.4951
4.3780 -2.7555 2.4217
-5.7590 -6.9380 2.5170
Li Ag Ni
14 1 1
Direct
0.8897 0.1103 0.2506 Li
0.0654 0.4120 0.5000 Li
0.1867 0.3369 0.0000 Li
0.3924 0.1484 0.2759 Li
0.3708 0.6292 0.7332 Li
0.1663 0.8337 0.0000 Li
0.8516 0.6076 0.7241 Li
0.3924 0.1484 0.7241 Li
0.8897 0.1103 0.7494 Li
0.3708 0.6292 0.2668 Li
0.5880 0.9346 0.5000 Li
0.6631 0.8133 0.0000 Li
0.6794 0.3206 0.0000 Li
0.8516 0.6076 0.2759 Li
0.0791 0.9209 0.5000 Ag
0.5631 0.4369 0.5000 Ni
```

***

# 2
Density functional theory data (PBE) for an optimized crystal structure of LiNiAg2.

## Properties
VASP energy ... -3.25 eV per atom
Energy of formation ... 0.10 eV/atom
Spin magnetization ... 0.0 μB per cell
Symmetry ... No. 166
DOS(E_F) ... 0.66 states/eV per atom

POSCAR file:
```
LiNiAg2
1.0
-1.4856 -8.0763 3.8616
0.5935 -8.8060 2.1092
1.1977 -7.7111 4.6315
Li Ag Ni
1 2 1
Direct
0.2500 0.2500 0.2500 Li
0.0021 0.0021 0.0021 Ag
0.4979 0.4979 0.4979 Ag
0.7500 0.7500 0.7500 Ni
```

***

# 3
Density functional theory data (PBE) for an optimized crystal structure of LiNiAg2.

## Properties
VASP energy ... -3.04 eV per atom
Energy of formation ... 0.31 eV/atom
Spin magnetization ... 0.0 μB per cell
Symmetry ... No. 122
DOS(E_F) ... 0.48 states/eV per atom

POSCAR file:
```
LiNiAg2
1.0
3.8459 0.0000 0.0000
0.0000 3.8459 0.0000
1.9229 1.9229 9.0470
Ni Ag Li
2 4 2
Direct
0.0000 0.0000 0.0000 Ni
0.7500 0.2500 0.5000 Ni
0.6275 0.1250 0.2500 Ag
0.3750 0.3725 0.7500 Ag
0.8750 0.8775 0.7500 Ag
0.1225 0.6250 0.2500 Ag
0.2500 0.7500 0.5000 Li
0.5000 0.5000 0.0000 Li
```

***

# 4
Density functional theory data (PBE) for an optimized crystal structure of LiNiAg2.

## Properties
VASP energy ... -3.36 eV per atom
Energy of formation ... -0.01 eV/atom
Spin magnetization ... 0.0 μB per cell
Symmetry ... No. 65
DOS(E_F) ... 0.32 states/eV per atom

POSCAR file:
```
LiNiAg2
1.0
-1.4420 -1.2592 -4.0179
2.5853 -3.6119 0.2821
-2.2433 -1.5043 1.2780
Ag Li Ni
2 1 1
Direct
0.5000 0.5000 0.0000 Ag
0.0000 0.0000 0.0000 Ag
0.5000 0.0000 0.5000 Li
0.0000 0.5000 0.5000 Ni
```

***

# 5
Density functional theory data (PBE) for an optimized crystal structure of Li3NiAg.

## Properties
VASP energy ... -2.56 eV per atom
Energy of formation ... 0.31 eV/atom
Spin magnetization ... 0.0 μB per cell
Energy above the lowest structure with this stoichiometry ... 0 meV/atom
Symmetry ... No. 221
DOS(E_F) ... 0.23 states/eV per atom

POSCAR file:
```
Li3NiAg
1.0
-1.3724 -0.6918 -4.2027
-3.5844 -2.1974 1.5322
-2.3007 3.8363 0.1198
Li Ni Ag
3 1 1
Direct
0.0000 0.5000 0.0000 Li
0.5000 0.0000 0.0000 Li
0.0000 0.0000 0.5000 Li
0.0000 0.0000 0.0000 Ni
0.5000 0.5000 0.5000 Ag
```

***

# 6
Density functional theory data (PBE) for an optimized crystal structure of LiNiAg2.

## Properties
VASP energy ... -3.24 eV per atom
Energy of formation ... 0.11 eV/atom
Spin magnetization ... 0.1 μB per cell
Symmetry ... No. 35
DOS(E_F) ... 0.47 states/eV per atom

POSCAR file:
```
LiNiAg2
1.0
-0.6394 2.4396 1.0545
-2.1751 -1.6457 -0.1823
1.6647 -3.1086 8.2013
Ni Ag Li
1 2 1
Direct
0.5000 0.5000 0.7384 Ni
0.0000 0.0000 0.9802 Ag
0.5000 0.5000 0.2617 Ag
0.0000 0.0000 0.5197 Li
```